No. 1
FeIrPbW: relaxed, PBE.

Lattice parameters (Å, degrees): 4.5264 4.5264 4.5264 60.00 60.00 60.00
With the nearest neighbours (Å) after each atom.
Element x y z (fractional)
Pb  0.0000  0.0000  0.0000  4 Fe 2.77, 4 Ir 2.77
Ir  0.2500  0.2500  0.2500  4 W 2.77, 4 Pb 2.77
W  0.5000  0.5000  0.5000  4 Fe 2.77, 4 Ir 2.77
Fe  0.7500  0.7500  0.7500  4 Pb 2.77, 4 W 2.77

Its total energy is -7.8410 eV/atom. As for the theoretical density: 16.183 g cm⁻³. The crystal system is cubic.



No. 2
YFeIrPb: relaxed, PBE.

Lattice parameters (Å, degrees): 4.7704 4.7704 4.7704 60.00 60.00 60.00
With the nearest neighbours (Å) after each atom.
Element x y z (fractional)
Fe  0.7500  0.7500  0.7500  4 Ir 2.92, 4 Pb 2.92
Y  0.2500  0.2500  0.2500  4 Pb 2.92, 4 Ir 2.92
Pb  0.0000  0.0000  0.0000  4 Fe 2.92, 4 Y 2.92
Ir  0.5000  0.5000  0.5000  4 Fe 2.92, 4 Y 2.92

Its total energy is -6.6829 eV/atom. As for the theoretical density: 11.772 g cm⁻³. The crystal system is cubic.